Material: GeAu3Cl
Method: DFT, PBE-GGA
State: relaxed

Calculated values
Fermi-level density of states: 7.959 states/eV/cell
symmetry: No. 221
energy above the most stable polymorph in this dataset: 0.000 eV per atom
volume: 24.30 Å³/atom
mass density: 9.55 Mg/m³
energy relative to the elements, uncorrected: 2.23 eV/f.u.

a = 4.9529 Å, b = 4.9529 Å, c = 4.9529 Å
α = 90.00°, β = 90.00°, γ = 90.00°
Element x y z (fractional)
Ge 0.0000 0.0000 0.0000
Au 0.0000 0.0000 0.5000
Au 0.0000 0.5000 0.0000
Au 0.5000 0.0000 0.0000
Cl 0.5000 0.5000 0.5000